# 1
Computed, not measured: an optimized crystal structure of Tb2Ce3SmTe6 at the PBE level of DFT.

```
Tb2Ce3SmTe6
1.0
3.8209 -6.6291 0.0000
3.8209 6.6291 0.0000
-2.5545 0.0000 7.3453
Tb Ce Sm Te
2 3 1 6
Cartesian
3.8209 4.4130 0.0000
3.8209 -4.4130 0.0000
-1.2772 0.0000 3.6727
2.5436 2.1762 3.6727
2.5436 -2.1762 3.6727
3.8209 0.0000 0.0000
-0.0212 2.2346 5.5597
1.2403 0.0000 1.7659
-0.0212 -2.2346 5.5597
5.1084 2.2346 1.7856
3.8470 0.0000 5.5794
5.1084 -2.2346 1.7856
```

Calculated values
- D(E_F): 23.03 states/eV/f.u.
- ΔE_f (raw): -1.36 eV per atom
- V: 372.1 Å³ per cell
- Crystal system: monoclinic

# 2
Computed, not measured: an optimized crystal structure of TbCe4Sm3Te8 at the PBE level of DFT.

```
TbCe4Sm3Te8
1.0
4.4357 2.5609 7.3593
-4.4357 2.5609 7.3593
0.0000 -5.1219 7.3593
Tb Ce Sm Te
1 4 3 8
Cartesian
0.0000 0.0000 0.0000
-4.4357 0.0000 11.0389
-2.2178 1.2805 3.6796
2.2178 1.2805 3.6796
0.0000 0.0000 11.0389
-2.2178 -1.2805 7.3593
-2.2178 1.2805 14.7185
0.0000 2.5609 7.3593
0.0000 -2.5827 9.1555
-2.2367 1.2913 9.1555
-2.2367 -1.2913 12.9223
0.0000 0.0000 5.5472
0.0000 0.0000 16.5305
2.2367 1.2913 9.1555
2.2367 -1.2913 12.9223
0.0000 2.5827 12.9223
```

Calculated values
- D(E_F): 30.71 states/eV/f.u.
- ΔE_f (raw): -1.37 eV per atom
- V: 501.6 Å³ per cell
- Crystal system: trigonal

# 3
Computed, not measured: an optimized crystal structure of Tb3CeSm4Te8 at the PBE level of DFT.

```
Tb3CeSm4Te8
1.0
4.4197 2.5517 7.2341
-4.4197 2.5517 7.2341
0.0000 -5.1035 7.2341
Tb Ce Sm Te
3 1 4 8
Cartesian
-2.2099 -1.2759 7.2341
-2.2099 1.2759 14.4682
0.0000 2.5517 7.2341
0.0000 0.0000 0.0000
-4.4197 0.0000 10.8512
-2.2099 1.2759 3.6171
2.2099 1.2759 3.6171
0.0000 0.0000 10.8512
0.0000 -2.5226 9.0183
-2.1847 1.2613 9.0183
0.0000 0.0000 5.4707
-2.1847 -1.2613 12.6841
2.1847 1.2613 9.0183
0.0000 0.0000 16.2317
2.1847 -1.2613 12.6840
0.0000 2.5226 12.6840
```

Calculated values
- D(E_F): 16.66 states/eV/f.u.
- ΔE_f (raw): -1.35 eV per atom
- V: 489.5 Å³ per cell
- Crystal system: trigonal

# 4
Computed, not measured: an optimized crystal structure of Tb3Ce3SmTe8 at the PBE level of DFT.

```
Tb3Ce3SmTe8
1.0
4.4195 2.5516 7.2229
-4.4195 2.5516 7.2229
0.0000 -5.1032 7.2229
Tb Ce Sm Te
3 3 1 8
Cartesian
-2.2097 -1.2758 7.2229
-2.2097 1.2758 14.4458
0.0000 2.5516 7.2229
-4.4195 0.0000 10.8344
-2.2097 1.2758 3.6114
2.2097 1.2758 3.6115
0.0000 0.0000 10.8344
0.0000 -2.5753 8.9437
-2.2303 1.2877 8.9437
-2.2303 -1.2877 12.7250
0.0000 0.0000 5.4840
0.0000 0.0000 16.1847
2.2303 1.2877 8.9437
2.2303 -1.2877 12.7250
0.0000 2.5753 12.7250
```

Calculated values
- D(E_F): 24.14 states/eV/f.u.
- ΔE_f (raw): -1.40 eV per atom
- V: 488.7 Å³ per cell
- Crystal system: trigonal

# 5
Computed, not measured: an optimized crystal structure of TbCeSm2Th at the PBE level of DFT.

```
TbCeSm2Th
1.0
6.2609 0.0000 0.0000
0.0000 8.3961 0.0000
-1.9417 0.0000 6.3326
Tb Ce Sm Th
2 2 4 2
Cartesian
-0.4854 1.3310 1.5832
-1.4563 7.0650 4.7495
2.6450 3.5832 1.5832
1.6742 4.8128 4.7495
0.1991 1.4612 5.4748
1.1700 6.9348 2.3085
3.1492 1.4612 4.0241
4.1201 6.9348 0.8578
0.0000 4.1980 0.0000
-0.9709 4.1980 3.1663
```

Calculated values
- D(E_F): 11.16 states/eV/f.u.
- V: 332.9 Å³ per cell
- Formation enthalpy at 0 K: 0.282 eV per atom
- Crystal system: monoclinic

# 6
Computed, not measured: an optimized crystal structure of Tb6Ce2Sm3Th at the PBE level of DFT.

```
Tb6Ce2Sm3Th
1.0
3.0882 -5.3490 0.0000
3.0882 5.3490 0.0000
-2.0627 0.0000 11.5914
Tb Ce Sm Th
6 2 3 1
Cartesian
1.0279 1.7766 2.8355
-0.0140 0.0000 8.7555
1.0279 -1.7766 2.8355
3.0859 1.7766 8.7559
4.1277 0.0000 2.8359
3.0859 -1.7766 8.7559
3.0882 1.7832 0.0000
3.0882 -1.7832 0.0000
2.0569 3.5645 5.7957
2.0569 0.0000 5.7957
2.0569 -3.5645 5.7957
0.0000 0.0000 0.0000
```

Calculated values
- D(E_F): 21.35 states/eV/f.u.
- V: 383.0 Å³ per cell
- Formation enthalpy at 0 K: 0.040 eV per atom
- Crystal system: monoclinic